# Li2CaSmTl2 | Alexandria via LeMat-Bulk | PBE | relaxed
# Energy, eV per formula unit: -17.08
# M_tot, μB/f.u.: 0.0
# Formation energy from the elements, kJ per mole of atoms: -29.0
data_Li2CaSmTl2
_space_group_name_H-M_alt 'P -3 m 1'
_space_group_IT_number 164
_space_group_name_Hall '-P 3 2"'
_cell_length_a 4.9551
_cell_length_b 4.9551
_cell_length_c 7.3338
_cell_angle_alpha 90.00
_cell_angle_beta 90.00
_cell_angle_gamma 120.00
loop_
_atom_site_label
_atom_site_fract_x
_atom_site_fract_y
_atom_site_fract_z
_atom_site_occupancy
Li1 0.3333 0.6667 0.2623 1
Ca1 0.0000 0.0000 0.0000 1
Sm1 0.0000 0.0000 0.5000 1
Tl1 0.3333 0.6667 0.7200 1